[1]
! AlSb2Os (PBE-GGA, optimized geometry); values from VASP
! Total energy in eV/cell: -20.72
! Symmetry: P4/mmm
! Size of the total moment in μB/cell: 0.0
! Formation energy (no corrections) in eV/atom: 0.624
! V in Å³/f.u.: 78
&SYSTEM
  ibrav = 0, nat = 4, ntyp = 3
/
ATOMIC_SPECIES
Sb 121.76 Sb.upf
Al 26.98 Al.upf
Os 190.23 Os.upf
CELL_PARAMETERS angstrom
3.280 0.000 0.000
0.000 4.882 0.000
0.000 0.000 4.882
ATOMIC_POSITIONS crystal
Sb 0.000 0.000 0.000
Sb 0.000 0.500 0.500
Al 0.500 0.500 0.000
Os 0.500 0.000 0.500

=====

[2]
! AlSbOs (PBE-GGA, optimized geometry); values from VASP
! Total energy in eV/cell: -18.57
! Symmetry: P3m1
! Size of the total moment in μB/cell: 0.0
! Formation energy (no corrections) in eV/atom: 0.175
! Energy above the most stable polymorph in this dataset in meV per atom: 149.8
! V in Å³/f.u.: 55
&SYSTEM
  ibrav = 0, nat = 3, ntyp = 3
/
ATOMIC_SPECIES
Os 190.23 Os.upf
Al 26.98 Al.upf
Sb 121.76 Sb.upf
CELL_PARAMETERS angstrom
-2.966 0.390 -1.138
2.176 -1.597 -1.719
-1.731 -5.271 2.706
ATOMIC_POSITIONS crystal
Os 0.667 0.333 0.321
Al 0.000 0.000 0.034
Sb 0.333 0.667 0.644

=====

[3]
! AlSbOs (PBE-GGA, optimized geometry); values from VASP
! Total energy in eV/cell: -17.68
! Symmetry: Fmm2
! Size of the total moment in μB/cell: 0.0
! Formation energy (no corrections) in eV/atom: 0.470
! Energy above the most stable polymorph in this dataset in meV per atom: 445.2
! V in Å³/f.u.: 56
&SYSTEM
  ibrav = 0, nat = 3, ntyp = 3
/
ATOMIC_SPECIES
Al 26.98 Al.upf
Sb 121.76 Sb.upf
Os 190.23 Os.upf
CELL_PARAMETERS angstrom
-4.436 5.645 -0.624
-4.827 3.925 -3.074
-2.143 -0.309 2.104
ATOMIC_POSITIONS crystal
Al 0.020 0.020 0.980
Sb 0.321 0.321 0.679
Os 0.659 0.659 0.341

=====

[4]
! AlSbOs (PBE-GGA, optimized geometry); values from VASP
! Total energy in eV/cell: -17.73
! Symmetry: P3m1
! Size of the total moment in μB/cell: 0.0
! Formation energy (no corrections) in eV/atom: 0.455
! Energy above the most stable polymorph in this dataset in meV per atom: 430.1
! V in Å³/f.u.: 54
&SYSTEM
  ibrav = 0, nat = 3, ntyp = 3
/
ATOMIC_SPECIES
Sb 121.76 Sb.upf
Al 26.98 Al.upf
Os 190.23 Os.upf
CELL_PARAMETERS angstrom
4.510 0.000 0.000
-2.255 3.906 0.000
0.000 0.000 3.076
ATOMIC_POSITIONS crystal
Sb 0.333 0.667 0.500
Al 0.000 0.000 0.998
Os 0.667 0.333 0.503

=====

[5]
! AlSb2Os2 (PBE-GGA, optimized geometry); values from VASP
! Total energy in eV/cell: -31.00
! Symmetry: I4/mmm
! Size of the total moment in μB/cell: 0.0
! Formation energy (no corrections) in eV/atom: 0.690
! V in Å³/f.u.: 109
&SYSTEM
  ibrav = 0, nat = 5, ntyp = 3
/
ATOMIC_SPECIES
Sb 121.76 Sb.upf
Os 190.23 Os.upf
Al 26.98 Al.upf
CELL_PARAMETERS angstrom
3.861 0.513 4.845
-1.750 3.561 4.786
-2.443 -4.564 -3.443
ATOMIC_POSITIONS crystal
Sb 0.368 0.368 0.000
Sb 0.632 0.632 0.000
Os 0.250 0.750 0.500
Os 0.750 0.250 0.500
Al 0.000 0.000 0.000

=====

[6]
! AlSb2Os (PBE-GGA, optimized geometry); values from VASP
! Total energy in eV/cell: -22.99
! Symmetry: Immm
! Size of the total moment in μB/cell: 0.0
! Formation energy (no corrections) in eV/atom: 0.056
! V in Å³/f.u.: 86
&SYSTEM
  ibrav = 0, nat = 4, ntyp = 3
/
ATOMIC_SPECIES
Os 190.23 Os.upf
Sb 121.76 Sb.upf
Al 26.98 Al.upf
CELL_PARAMETERS angstrom
7.031 0.015 -0.009
5.069 4.873 0.009
-5.782 -3.108 2.520
ATOMIC_POSITIONS crystal
Os 0.250 0.750 0.500
Sb 0.077 0.077 0.000
Sb 0.423 0.423 0.000
Al 0.750 0.250 0.500

=====

[7]
! AlSb2Os (PBE-GGA, optimized geometry); values from VASP
! Total energy in eV/cell: -21.56
! Symmetry: R-3m
! Size of the total moment in μB/cell: 0.0
! Formation energy (no corrections) in eV/atom: 0.414
! V in Å³/f.u.: 85
&SYSTEM
  ibrav = 0, nat = 4, ntyp = 3
/
ATOMIC_SPECIES
Sb 121.76 Sb.upf
Os 190.23 Os.upf
Al 26.98 Al.upf
CELL_PARAMETERS angstrom
-0.631 -8.004 -5.356
1.928 -6.618 -6.754
2.316 -8.422 -4.105
ATOMIC_POSITIONS crystal
Sb 0.488 0.488 0.488
Sb 0.012 0.012 0.012
Os 0.750 0.750 0.750
Al 0.250 0.250 0.250

=====

[8]
! AlSb4Os (PBE-GGA, optimized geometry); values from VASP
! Total energy in eV/cell: -24.28
! Symmetry: F-43m
! Size of the total moment in μB/cell: 2.7
! Formation energy (no corrections) in eV/atom: 1.197
! V in Å³/f.u.: 158
&SYSTEM
  ibrav = 0, nat = 6, ntyp = 3
/
ATOMIC_SPECIES
Al 26.98 Al.upf
Sb 121.76 Sb.upf
Os 190.23 Os.upf
CELL_PARAMETERS angstrom
0.000 4.290 4.290
4.290 0.000 4.290
4.290 4.290 0.000
ATOMIC_POSITIONS crystal
Al 0.750 0.750 0.750
Sb 0.375 0.375 0.875
Sb 0.375 0.375 0.375
Sb 0.375 0.875 0.375
Sb 0.875 0.375 0.375
Os 0.000 0.000 0.000

=====

[9]
! AlSbOs (PBE-GGA, optimized geometry); values from VASP
! Total energy in eV/cell: -19.02
! Symmetry: F-43m
! Size of the total moment in μB/cell: 0.0
! Formation energy (no corrections) in eV/atom: 0.025
! Energy above the most stable polymorph in this dataset in meV per atom: 0.0
! V in Å³/f.u.: 59
&SYSTEM
  ibrav = 0, nat = 3, ntyp = 3
/
ATOMIC_SPECIES
Al 26.98 Al.upf
Sb 121.76 Sb.upf
Os 190.23 Os.upf
CELL_PARAMETERS angstrom
-1.636 2.606 3.091
-3.934 -0.827 1.691
-0.352 -1.437 4.103
ATOMIC_POSITIONS crystal
Al 0.500 0.500 0.500
Sb 0.000 0.000 0.000
Os 0.750 0.750 0.750

=====

[10]
! AlSb2Os (PBE-GGA, optimized geometry); values from VASP
! Total energy in eV/cell: -21.86
! Symmetry: Imm2
! Size of the total moment in μB/cell: 0.0
! Formation energy (no corrections) in eV/atom: 0.339
! V in Å³/f.u.: 85
&SYSTEM
  ibrav = 0, nat = 4, ntyp = 3
/
ATOMIC_SPECIES
Sb 121.76 Sb.upf
Al 26.98 Al.upf
Os 190.23 Os.upf
CELL_PARAMETERS angstrom
-4.745 2.148 -4.160
-1.941 -2.153 -6.003
1.176 -0.842 6.507
ATOMIC_POSITIONS crystal
Sb 0.774 0.274 0.500
Sb 0.054 0.054 0.000
Al 0.429 0.429 0.000
Os 0.243 0.743 0.500

=====

[11]
! AlSb2Os (PBE-GGA, optimized geometry); values from VASP
! Total energy in eV/cell: -22.49
! Symmetry: Pm
! Size of the total moment in μB/cell: 0.0
! Formation energy (no corrections) in eV/atom: 0.181
! V in Å³/f.u.: 81
&SYSTEM
  ibrav = 0, nat = 4, ntyp = 3
/
ATOMIC_SPECIES
Sb 121.76 Sb.upf
Al 26.98 Al.upf
Os 190.23 Os.upf
CELL_PARAMETERS angstrom
-2.056 -0.293 3.666
3.487 -0.487 1.916
2.082 4.514 1.529
ATOMIC_POSITIONS crystal
Sb 0.000 0.978 0.919
Sb 0.500 0.266 0.343
Al 0.000 0.697 0.480
Os 0.500 0.559 0.759

=====

[12]
! AlSb2Os (PBE-GGA, optimized geometry); values from VASP
! Total energy in eV/cell: -21.87
! Symmetry: P4/mmm
! Size of the total moment in μB/cell: 0.0
! Formation energy (no corrections) in eV/atom: 0.337
! V in Å³/f.u.: 80
&SYSTEM
  ibrav = 0, nat = 4, ntyp = 3
/
ATOMIC_SPECIES
Sb 121.76 Sb.upf
Al 26.98 Al.upf
Os 190.23 Os.upf
CELL_PARAMETERS angstrom
-1.048 -0.129 -3.045
-1.718 -2.635 0.703
-6.047 4.448 1.894
ATOMIC_POSITIONS crystal
Sb 0.000 0.000 0.530
Sb 0.000 0.000 0.970
Al 0.500 0.500 0.250
Os 0.500 0.500 0.750

=====

[13]
! AlSbOs (PBE-GGA, optimized geometry); values from VASP
! Total energy in eV/cell: -18.32
! Symmetry: Imm2
! Size of the total moment in μB/cell: 0.0
! Formation energy (no corrections) in eV/atom: 0.259
! Energy above the most stable polymorph in this dataset in meV per atom: 234.2
! V in Å³/f.u.: 52
&SYSTEM
  ibrav = 0, nat = 3, ntyp = 3
/
ATOMIC_SPECIES
Os 190.23 Os.upf
Al 26.98 Al.upf
Sb 121.76 Sb.upf
CELL_PARAMETERS angstrom
-3.614 -1.103 -3.085
-2.877 -3.789 1.077
1.666 4.197 1.845
ATOMIC_POSITIONS crystal
Os 0.341 0.341 0.000
Al 0.988 0.988 0.000
Sb 0.671 0.671 0.000

=====

[14]
! AlSb2Os (PBE-GGA, optimized geometry); values from VASP
! Total energy in eV/cell: -20.91
! Symmetry: Cmmm
! Size of the total moment in μB/cell: 0.0
! Formation energy (no corrections) in eV/atom: 0.576
! V in Å³/f.u.: 86
&SYSTEM
  ibrav = 0, nat = 4, ntyp = 3
/
ATOMIC_SPECIES
Sb 121.76 Sb.upf
Al 26.98 Al.upf
Os 190.23 Os.upf
CELL_PARAMETERS angstrom
3.103 0.007 0.000
-1.523 2.704 0.000
0.000 0.000 10.185
ATOMIC_POSITIONS crystal
Sb 0.000 0.000 0.532
Sb 0.000 0.000 0.968
Al 0.500 0.500 0.250
Os 0.500 0.500 0.750

=====

[15]
! AlSb2Os (PBE-GGA, optimized geometry); values from VASP
! Total energy in eV/cell: -42.37
! Symmetry: I-42d
! Size of the total moment in μB/cell: 0.0
! Formation energy (no corrections) in eV/atom: 0.508
! V in Å³/f.u.: 114
&SYSTEM
  ibrav = 0, nat = 8, ntyp = 3
/
ATOMIC_SPECIES
Sb 121.76 Sb.upf
Os 190.23 Os.upf
Al 26.98 Al.upf
CELL_PARAMETERS angstrom
-0.563 -3.673 -4.934
-3.365 -3.963 3.334
-6.942 -0.925 -2.385
ATOMIC_POSITIONS crystal
Sb 0.648 0.125 0.250
Sb 0.875 0.898 0.750
Sb 0.375 0.352 0.750
Sb 0.102 0.625 0.250
Os 0.750 0.250 0.500
Os 0.000 0.000 0.000
Al 0.500 0.500 0.000
Al 0.250 0.750 0.500

=====

[16]
! Al3SbOs (PBE-GGA, optimized geometry); values from VASP
! Total energy in eV/cell: -25.33
! Symmetry: Pm-3m
! Size of the total moment in μB/cell: 0.0
! Formation energy (no corrections) in eV/atom: 0.249
! Energy above the most stable polymorph in this dataset in meV per atom: 0.0
! V in Å³/f.u.: 110
&SYSTEM
  ibrav = 0, nat = 5, ntyp = 3
/
ATOMIC_SPECIES
Os 190.23 Os.upf
Sb 121.76 Sb.upf
Al 26.98 Al.upf
CELL_PARAMETERS angstrom
4.790 0.000 0.000
0.000 4.790 0.000
0.000 0.000 4.790
ATOMIC_POSITIONS crystal
Os 0.000 0.000 0.000
Sb 0.500 0.500 0.500
Al 0.000 0.000 0.500
Al 0.000 0.500 0.000
Al 0.500 0.000 0.000

=====

[17]
! AlSb3Os (PBE-GGA, optimized geometry); values from VASP
! Total energy in eV/cell: -19.83
! Symmetry: Pm-3m
! Size of the total moment in μB/cell: 1.8
! Formation energy (no corrections) in eV/atom: 1.501
! Energy above the most stable polymorph in this dataset in meV per atom: 734.0
! V in Å³/f.u.: 131
&SYSTEM
  ibrav = 0, nat = 5, ntyp = 3
/
ATOMIC_SPECIES
Os 190.23 Os.upf
Sb 121.76 Sb.upf
Al 26.98 Al.upf
CELL_PARAMETERS angstrom
5.083 0.000 0.000
0.000 5.083 0.000
0.000 0.000 5.083
ATOMIC_POSITIONS crystal
Os 0.500 0.500 0.500
Sb 0.000 0.500 0.000
Sb 0.000 0.000 0.500
Sb 0.500 0.000 0.000
Al 0.000 0.000 0.000

=====

[18]
! AlSb3Os (PBE-GGA, optimized geometry); values from VASP
! Total energy in eV/cell: -23.50
! Symmetry: Pm-3m
! Size of the total moment in μB/cell: 0.0
! Formation energy (no corrections) in eV/atom: 0.767
! Energy above the most stable polymorph in this dataset in meV per atom: 0.0
! V in Å³/f.u.: 139
&SYSTEM
  ibrav = 0, nat = 5, ntyp = 3
/
ATOMIC_SPECIES
Sb 121.76 Sb.upf
Os 190.23 Os.upf
Al 26.98 Al.upf
CELL_PARAMETERS angstrom
-3.078 -1.584 3.855
-2.196 -3.457 -3.174
3.542 -3.520 1.382
ATOMIC_POSITIONS crystal
Sb 0.000 0.000 0.500
Sb 0.500 0.000 0.000
Sb 0.000 0.500 0.000
Os 0.000 0.000 0.000
Al 0.500 0.500 0.500

=====

[19]
! AlSbOs (PBE-GGA, optimized geometry); values from VASP
! Total energy in eV/cell: -18.73
! Symmetry: I4mm
! Size of the total moment in μB/cell: 0.0
! Formation energy (no corrections) in eV/atom: 0.122
! Energy above the most stable polymorph in this dataset in meV per atom: 97.4
! V in Å³/f.u.: 58
&SYSTEM
  ibrav = 0, nat = 3, ntyp = 3
/
ATOMIC_SPECIES
Al 26.98 Al.upf
Os 190.23 Os.upf
Sb 121.76 Sb.upf
CELL_PARAMETERS angstrom
-0.639 5.317 -3.529
-4.401 3.079 -3.505
1.876 -3.096 5.294
ATOMIC_POSITIONS crystal
Al 0.959 0.959 0.000
Os 0.344 0.344 0.000
Sb 0.696 0.696 0.000

=====

[20]
! Al2SbOs2 (PBE-GGA, optimized geometry); values from VASP
! Total energy in eV/cell: -68.07
! Symmetry: P4/mbm
! Size of the total moment in μB/cell: 0.0
! Formation energy (no corrections) in eV/atom: 0.007
! V in Å³/f.u.: 81
&SYSTEM
  ibrav = 0, nat = 10, ntyp = 3
/
ATOMIC_SPECIES
Sb 121.76 Sb.upf
Al 26.98 Al.upf
Os 190.23 Os.upf
CELL_PARAMETERS angstrom
-0.633 2.483 6.813
-6.891 -2.335 0.211
0.950 -2.707 1.075
ATOMIC_POSITIONS crystal
Sb 0.000 0.000 0.000
Sb 0.500 0.500 0.000
Al 0.137 0.637 0.500
Al 0.863 0.363 0.500
Al 0.637 0.863 0.500
Al 0.363 0.137 0.500
Os 0.843 0.657 0.000
Os 0.657 0.157 0.000
Os 0.343 0.843 0.000
Os 0.157 0.343 0.000